Entry 1:
TmAlCu | meta-GGA SCAN | PBEsol geometry

Cell lengths 7.0026, 7.0026, 3.7819 Å; angles 90.00, 90.00, 120.00 degrees
With the nearest neighbours (Å) after each atom.
Space group P-62m (No. 189)
Symmetry-distinct sites (fractional):
Tm 0.0000 0.5850 0.0000 [3 per cell]  5 Cu 2.83-2.91, 6 Al 3.06-3.16
Al 0.0000 0.2409 0.5000 [3 per cell]  4 Cu 2.53-2.72
Cu 0.0000 0.0000 0.0000 [1 per cell]  6 Al 2.53
Cu 0.3333 0.6667 0.5000 [2 per cell]  3 Al 2.72, 6 Tm 2.83

Computed properties:
DFT formation energy = -544 meV per atom



Entry 2:
TmAl8Cu4 | meta-GGA SCAN | PBEsol geometry

Cell lengths 8.7032, 8.7032, 5.0684 Å; angles 90.00, 90.00, 90.00 degrees
With the nearest neighbours (Å) after each atom.
Space group I4/mmm (No. 139)
Symmetry-distinct sites (fractional):
Tm 0.0000 0.0000 0.0000 [2 per cell]  12 Al 3.02-3.16, 8 Cu 3.33
Al 0.0000 0.2175 0.5000 [8 per cell]  4 Cu 2.53, 6 Al 2.68-2.80
Al 0.0000 0.3467 0.0000 [8 per cell]  4 Cu 2.65, 5 Al 2.67-2.80
Cu 0.2500 0.2500 0.2500 [8 per cell]  8 Al 2.53-2.65, 2 Cu 2.53

Computed properties:
DFT formation energy = -379 meV per atom



Entry 3:
TmAlCu | meta-GGA SCAN | PBEsol geometry

Cell lengths 5.3716, 5.3806, 7.4811 Å; angles 90.00, 90.00, 90.00 degrees
With the nearest neighbours (Å) after each atom.
Space group Imma (No. 74)
Symmetry-distinct sites (fractional):
Tm 0.0000 0.2500 0.1249 [4 per cell]  6 Cu 3.11-3.15, 6 Al 3.11-3.15, 4 Tm 3.27-3.28
Al 0.0000 0.0000 0.5000 [4 per cell]  4 Cu 2.67, 2 Al 2.69
Cu 0.2500 0.2500 0.7500 [4 per cell]  4 Al 2.67, 2 Cu 2.69

Computed properties:
DFT formation energy = -454 meV per atom



Entry 4:
AlCuW3 | meta-GGA SCAN | PBEsol geometry

Cell lengths 4.4658, 4.4658, 4.4658 Å; angles 90.00, 90.00, 90.00 degrees
With the nearest neighbours (Å) after each atom.
Space group Pm-3m (No. 221)
Symmetry-distinct sites (fractional):
Al 0.0000 0.0000 0.0000 [1 per cell]  6 W 2.23
Cu 0.5000 0.5000 0.5000 [1 per cell]  12 W 3.16
W 0.0000 0.0000 0.5000 [3 per cell]  2 Al 2.23

Computed properties:
DFT formation energy = 2237 meV per atom



| no. | spin magnetization (μB/f.u.) | DFT total energy (eV/atom) | N(E_F) (states/eV per cell) |
| --- | --- | --- | --- |
| 1 | 0.0 | -25.471 | 5.43 |
| 2 | 0.0 | -13.813 | 5.97 |
| 3 | 0.0 | -25.382 | 6.70 |
| 4 | 0.0 | -44.166 | 5.17 |